(i)
Here is an optimized crystal structure of LaOs2Au from Alexandria via LeMat-Bulk. Energies are from PBE.

a = 5.787 Å, b = 9.833 Å, c = 2.984 Å
α = 90.00°, β = 118.71°, γ = 90.00°
Space group C2/m (No. 12)
Asymmetric unit:
La1 0.000 0.000 0.000 [2 per cell]
Os1 0.250 0.250 0.500 [4 per cell]
Au1 0.000 0.500 0.000 [2 per cell]

crystal system: monoclinic

***

(ii)
Here is an optimized crystal structure of LaOs2Au from Alexandria via LeMat-Bulk. Energies are from PBE.

a = 6.715 Å, b = 6.715 Å, c = 6.715 Å
α = 90.00°, β = 90.00°, γ = 90.00°
Space group Fm-3m (No. 225)
Asymmetric unit:
La1 0.000 0.000 0.000 [4 per cell]
Os1 0.250 0.250 0.250 [8 per cell]
Au1 0.000 0.000 0.500 [4 per cell]

crystal system: cubic

***

The structure with the greatest stability is (i).

***

(i)
Here is an optimized crystal structure of LaOs2Au from Alexandria via LeMat-Bulk. Energies are from PBE.

a = 2.8666 Å, b = 2.8666 Å, c = 30.4798 Å
α = 90.00°, β = 90.00°, γ = 120.00°
Space group R-3m (No. 166, hexagonal axes)
Asymmetric unit:
La1 0.0000 0.0000 0.0000 [3 per cell]
Os1 0.0000 0.0000 0.2430 [6 per cell]
Au1 0.0000 0.0000 0.5000 [3 per cell]

crystal system: trigonal

***

(ii)
Here is an optimized crystal structure of LaOs2Au from Alexandria via LeMat-Bulk. Energies are from PBE.

a = 2.957 Å, b = 2.957 Å, c = 8.512 Å
α = 90.00°, β = 90.00°, γ = 90.00°
Space group P4/mmm (No. 123)
Asymmetric unit:
La1 0.000 0.000 0.000 [1 per cell]
Os1 0.500 0.500 0.282 [2 per cell]
Au1 0.000 0.000 0.500 [1 per cell]

crystal system: tetragonal

***

The structure with the greatest stability is (ii).

***

(i)
Here is an optimized crystal structure of LaOs3Au from Alexandria via LeMat-Bulk. Energies are from PBE.

a = 4.863 Å, b = 4.863 Å, c = 4.863 Å
α = 90.00°, β = 90.00°, γ = 90.00°
Space group Pm-3m (No. 221)
Asymmetric unit:
La1 0.000 0.000 0.000 [1 per cell]
Os1 0.000 0.000 0.500 [3 per cell]
Au1 0.500 0.500 0.500 [1 per cell]

crystal system: cubic

***

(ii)
Here is an optimized crystal structure of LaOs3Au from Alexandria via LeMat-Bulk. Energies are from PBE.

a = 4.913 Å, b = 4.913 Å, c = 4.913 Å
α = 90.00°, β = 90.00°, γ = 90.00°
Space group Pm-3m (No. 221)
Asymmetric unit:
La1 0.000 0.000 0.000 [1 per cell]
Os1 0.000 0.500 0.500 [3 per cell]
Au1 0.500 0.500 0.500 [1 per cell]

crystal system: cubic

***

The structure with the greatest stability is (ii).

***

(i)
Here is an optimized crystal structure of La4OsAu from Alexandria via LeMat-Bulk. Energies are from PBE.

a = 8.709 Å, b = 13.206 Å, c = 6.454 Å
α = 90.00°, β = 104.78°, γ = 90.00°
Space group C2/c (No. 15)
Asymmetric unit:
La1 0.109 0.170 0.035 [8 per cell]
La2 0.204 0.422 0.419 [8 per cell]
Os1 0.000 0.000 0.250 [4 per cell]
Au1 0.000 0.375 0.750 [4 per cell]

crystal system: monoclinic

***

(ii)
Here is an optimized crystal structure of La4OsAu from Alexandria via LeMat-Bulk. Energies are from PBE.

a = 9.339 Å, b = 14.973 Å, c = 7.124 Å
α = 90.00°, β = 127.51°, γ = 90.00°
Space group C2/c (No. 15)
Asymmetric unit:
La1 0.165 0.216 0.164 [8 per cell]
La2 0.238 0.035 0.743 [8 per cell]
Os1 0.000 0.091 0.250 [4 per cell]
Au1 0.000 0.378 0.750 [4 per cell]

crystal system: monoclinic

***

(iii)
Here is an optimized crystal structure of La4OsAu from Alexandria via LeMat-Bulk. Energies are from PBE.

a = 8.658 Å, b = 8.658 Å, c = 8.658 Å
α = 90.00°, β = 90.00°, γ = 90.00°
Space group F-43m (No. 216)
Asymmetric unit:
La1 0.124 0.124 0.124 [16 per cell]
Os1 0.250 0.250 0.750 [4 per cell]
Au1 0.000 0.000 0.500 [4 per cell]

crystal system: cubic

***

The structure with the greatest stability is (i).

***

(i)
Here is an optimized crystal structure of LaPAu3 from Alexandria via LeMat-Bulk. Energies are from PBE.

a = 5.781 Å, b = 5.781 Å, c = 5.781 Å
α = 90.00°, β = 90.00°, γ = 90.00°
Space group Pm-3m (No. 221)
Asymmetric unit:
La1 0.000 0.000 0.000 [1 per cell]
P1 0.500 0.500 0.500 [1 per cell]
Au1 0.000 0.000 0.500 [3 per cell]

crystal system: cubic

***

(ii)
Here is an optimized crystal structure of LaPAu3 from Alexandria via LeMat-Bulk. Energies are from PBE.

a = 4.859 Å, b = 4.859 Å, c = 4.859 Å
α = 90.00°, β = 90.00°, γ = 90.00°
Space group Pm-3m (No. 221)
Asymmetric unit:
La1 0.000 0.000 0.000 [1 per cell]
P1 0.500 0.500 0.500 [1 per cell]
Au1 0.000 0.500 0.500 [3 per cell]

crystal system: cubic

***

The structure with the greatest stability is (ii).

***

(i)
Here is an optimized crystal structure of LaPAuS2 from Alexandria via LeMat-Bulk. Energies are from PBE.

a = 5.467 Å, b = 5.467 Å, c = 5.878 Å
α = 90.00°, β = 90.00°, γ = 90.00°
Space group P4/mmm (No. 123)
Asymmetric unit:
La1 0.000 0.000 0.000 [1 per cell]
P1 0.000 0.000 0.500 [1 per cell]
Au1 0.500 0.500 0.500 [1 per cell]
S1 0.000 0.500 0.000 [2 per cell]

crystal system: tetragonal

***

(ii)
Here is an optimized crystal structure of LaPAuS2 from Alexandria via LeMat-Bulk. Energies are from PBE.

a = 4.903 Å, b = 4.903 Å, c = 4.750 Å
α = 90.00°, β = 90.00°, γ = 90.00°
Space group P4/mmm (No. 123)
Asymmetric unit:
La1 0.000 0.000 0.000 [1 per cell]
P1 0.500 0.500 0.000 [1 per cell]
Au1 0.500 0.500 0.500 [1 per cell]
S1 0.000 0.500 0.500 [2 per cell]

crystal system: tetragonal

***

The structure with the greatest stability is (ii).